An optimized crystal structure of NdHoAg2As4, computed with PBE.

Calculated values
Final energy: -4.955 eV per atom
V: 168.64 Å³ per cell
Magnetic moment: 0.001 μB/cell

Unit cell a=4.0244 b=4.0244 c=10.4127 alpha=90.00 beta=90.00 gamma=90.00
Closest atoms and distances in Å follow each position.
Space group P4mm (No. 99)
Symmetry-distinct sites (fractional):
Nd 0.0000 0.0000 0.0000 x1  8 As 3.01-3.15
Ho 0.5000 0.5000 0.4540 x1  8 As 2.97-3.06
Ag 0.0000 0.5000 0.7213 x2  4 As 2.79, 4 Ag 2.85
As 0.0000 0.0000 0.5353 x1  4 Ag 2.79, 4 Ho 2.97
As 0.0000 0.5000 0.2330 x2  4 As 2.85, 2 Ho 3.06, 2 Nd 3.15
As 0.5000 0.5000 0.9064 x1  4 Ag 2.79, 4 Nd 3.01